An optimized crystal structure of TcSbS2Cl, computed with PBE.

Cell lengths 5.137, 5.137, 5.057 Å; angles 90.00, 90.00, 90.00 degrees
Space group P4/mmm (No. 123)
One atom of each set of equivalent atoms:
Tc  0.000  0.000  0.000 [1 per cell]
Sb  0.500  0.500  0.500 [1 per cell]
S  0.000  0.500  0.500 [2 per cell]
Cl  0.500  0.500  0.000 [1 per cell]

Crystal system ... tetragonal
DFT total energy ... -20.6 eV/cell
Calculated volume ... 133.4 Å³/cell
Excess energy over the best structure of this formula in the dataset ... 13.96 kcal/mol of atoms
Formation energy (no corrections) ... 801 meV per atom